Computed, not measured: a relaxed structure of Ba3Zn2SnO6 at the PBE-GGA level of DFT.

abc: 5.9896 5.9896 7.0501
angles: 90.00 90.00 120.00
With the nearest neighbours (Å) after each atom.
Space group P-3m1 (No. 164)
Inequivalent atoms, fractional coordinates:
Ba 0.0000 0.0000 0.0000 [1 per cell]  6 O 2.83
Ba 0.3333 0.6667 0.6437 [2 per cell]  9 O 2.87-3.00, 1 Zn 3.21
Zn 0.3333 0.6667 0.1890 [2 per cell]  3 O 2.00
Sn 0.0000 0.0000 0.5000 [1 per cell]  6 O 2.11
O 0.1631 0.3263 0.3221 [6 per cell]  1 Zn 2.00, 1 Sn 2.11

E_tot, eV per atom: -5.359
Total magnetization, Bohr magnetons per cell: 0.21
Formation energy (no corrections), eV/atom: -1.85